First-principles (PBE+U) data for crystalline HoUMn2O8 at its relaxed geometry, as listed in the Alexandria database.

abc: 6.9168 6.5410 6.8774
angles: 90.00 94.92 90.00
Closest atoms and distances in Å follow each position.
Space group C2/m (No. 12)
One atom of each set of equivalent atoms:
Ho  0.0000  0.0000  0.0000 [2 per cell]  6 O 2.23-2.25
U  0.0000  0.0000  0.5000 [2 per cell]  6 O 2.03-2.12
Mn  0.0195  0.5000  0.2290 [4 per cell]  5 O 1.93-2.05
O  0.0029  0.2063  0.2618 [8 per cell]  1 Mn 1.94, 1 U 2.12
O  0.1761  0.5000  0.9887 [4 per cell]  2 Mn 1.93-2.05
O  0.2057  0.5000  0.4624 [4 per cell]  1 Mn 1.97, 1 U 2.03

Computed properties:
For the calculated total energy, the calculation gives -197.7 eV for the cell shown.